(1)
This record from Alexandria describes a relaxed structure of Ba3AcO. The functional is PBE-GGA.

Properties
- N(E_F): 0.8636 states/eV per atom
- Energy relative to the elements, uncorrected: -0.770 eV/atom
- Size of the total moment: 0.0 μB/cell

Cell and atoms, written as CIF:
```
data_Ba3AcO
_chemical_formula_sum 'Ba3 Ac1 O1'
_symmetry_space_group_name_H-M 'P m -3 m'
_symmetry_Int_Tables_number 221
_symmetry_space_group_name_Hall '-P 4 2 3'
_cell_length_a 5.7620
_cell_length_b 5.7620
_cell_length_c 5.7620
_cell_angle_alpha 90.00
_cell_angle_beta 90.00
_cell_angle_gamma 90.00
loop_
_atom_site_label
_atom_site_type_symbol
_atom_site_fract_x
_atom_site_fract_y
_atom_site_fract_z
Ba1 Ba 0.0000 0.0000 0.5000
Ac1 Ac 0.5000 0.5000 0.5000
O1 O 0.0000 0.0000 0.0000
```

(2)
This record from Alexandria describes a relaxed structure of SmCdAuO4. The functional is PBE-GGA.

Properties
- N(E_F): 0.1905 states/eV per atom
- Energy relative to the elements, uncorrected: -1.417 eV/atom
- Size of the total moment: 0.0 μB/cell

Cell and atoms, written as CIF:
```
data_SmCdAuO4
_chemical_formula_sum 'Sm4 Cd4 Au4 O16'
_symmetry_space_group_name_H-M 'I m m a'
_symmetry_Int_Tables_number 74
_symmetry_space_group_name_Hall '-I 2b 2'
_cell_length_a 6.4360
_cell_length_b 7.2038
_cell_length_c 9.7705
_cell_angle_alpha 90.00
_cell_angle_beta 90.00
_cell_angle_gamma 90.00
loop_
_atom_site_label
_atom_site_type_symbol
_atom_site_fract_x
_atom_site_fract_y
_atom_site_fract_z
Sm1 Sm 0.0000 0.0000 0.0000
Cd1 Cd 0.0000 0.2500 0.3203
Au1 Au 0.2500 0.2500 0.7500
O1 O 0.0000 0.0714 0.7592
O2 O 0.2103 0.2500 0.0695
```

(3)
This record from Alexandria describes a relaxed structure of LaTeP2O. The functional is PBE-GGA.

Properties
- Distance to the lowest polymorph of the same formula: 1087.9 meV per atom
- N(E_F): 1.1989 states/eV per atom
- Energy relative to the elements, uncorrected: 0.623 eV/atom
- Size of the total moment: 0.0 μB/cell

Cell and atoms, written as CIF:
```
data_LaTeP2O
_chemical_formula_sum 'La1 Te1 P2 O1'
_symmetry_space_group_name_H-M 'P 4/m m m'
_symmetry_Int_Tables_number 123
_symmetry_space_group_name_Hall '-P 4 2'
_cell_length_a 4.8635
_cell_length_b 4.8635
_cell_length_c 6.2154
_cell_angle_alpha 90.00
_cell_angle_beta 90.00
_cell_angle_gamma 90.00
loop_
_atom_site_label
_atom_site_type_symbol
_atom_site_fract_x
_atom_site_fract_y
_atom_site_fract_z
La1 La 0.0000 0.0000 0.0000
Te1 Te 0.0000 0.0000 0.5000
P1 P 0.0000 0.5000 0.5000
O1 O 0.5000 0.5000 0.0000
```

(4)
This record from Alexandria describes a relaxed structure of CaPtRh. The functional is PBE-GGA.

Properties
- Distance to the lowest polymorph of the same formula: 654.7 meV per atom
- Energy relative to the elements: -0.072 eV/atom
- N(E_F): 1.7048 states/eV per atom
- Size of the total moment: 2.6 μB/cell

Cell and atoms, written as CIF:
```
data_CaPtRh
_chemical_formula_sum 'Ca4 Pt4 Rh4'
_symmetry_space_group_name_H-M 'F -4 3 m'
_symmetry_Int_Tables_number 216
_symmetry_space_group_name_Hall 'F -4 2 3'
_cell_length_a 6.4005
_cell_length_b 6.4005
_cell_length_c 6.4005
_cell_angle_alpha 90.00
_cell_angle_beta 90.00
_cell_angle_gamma 90.00
loop_
_atom_site_label
_atom_site_type_symbol
_atom_site_fract_x
_atom_site_fract_y
_atom_site_fract_z
Ca1 Ca 0.0000 0.0000 0.0000
Pt1 Pt 0.2500 0.2500 0.7500
Rh1 Rh 0.0000 0.0000 0.5000
```

(5)
This record from Alexandria describes a relaxed structure of SrMnW2. The functional is PBE-GGA.

Properties
- Distance to the lowest polymorph of the same formula: 359.1 meV per atom
- Energy relative to the elements: 1.150 eV/atom
- N(E_F): 1.1181 states/eV per atom
- Size of the total moment: 5.4 μB/cell

Cell and atoms, written as CIF:
```
data_SrMnW2
_chemical_formula_sum 'Sr2 Mn2 W4'
_symmetry_space_group_name_H-M 'C 1 2/m 1'
_symmetry_Int_Tables_number 12
_cell_length_a 5.5325
_cell_length_b 10.2662
_cell_length_c 2.7554
_cell_angle_alpha 90.00
_cell_angle_beta 107.85
_cell_angle_gamma 90.00
loop_
_symmetry_equiv_pos_as_xyz
'x,y,z'
'-x,-y,-z'
'-x,y,-z'
'x,-y,z'
'x+1/2,y+1/2,z'
'-x+1/2,-y+1/2,-z'
'-x+1/2,y+1/2,-z'
'x+1/2,-y+1/2,z'
loop_
_atom_site_label
_atom_site_type_symbol
_atom_site_fract_x
_atom_site_fract_y
_atom_site_fract_z
Sr1 Sr 0.0000 0.0000 0.0000
Mn1 Mn 0.0000 0.5000 0.0000
W1 W 0.2500 0.2500 0.5000
```

(6)
This record from Alexandria describes a relaxed structure of Pm4RhN. The functional is PBE-GGA.

Properties
- N(E_F): 0.9142 states/eV per atom
- Energy relative to the elements, uncorrected: -0.613 eV/atom
- Size of the total moment: 0.0 μB/cell

Cell and atoms, written as CIF:
```
data_Pm4RhN
_chemical_formula_sum 'Pm16 Rh4 N4'
_symmetry_space_group_name_H-M 'I 41 m d'
_symmetry_Int_Tables_number 109
_symmetry_space_group_name_Hall 'I 4bw -2'
_cell_length_a 9.0280
_cell_length_b 9.0280
_cell_length_c 7.8984
_cell_angle_alpha 90.00
_cell_angle_beta 90.00
_cell_angle_gamma 90.00
loop_
_atom_site_label
_atom_site_type_symbol
_atom_site_fract_x
_atom_site_fract_y
_atom_site_fract_z
Pm1 Pm 0.0000 0.1909 0.0000
Pm2 Pm 0.0000 0.1979 0.4537
Rh1 Rh 0.0000 0.0000 0.7224
N1 N 0.0000 0.0000 0.2413
```

(7)
This record from Alexandria describes a relaxed structure of Ta5Pb. The functional is PBE-GGA.

Properties
- Energy relative to the elements: 0.440 eV/atom
- N(E_F): 1.5758 states/eV per atom
- Size of the total moment: 0.0 μB/cell

Cell and atoms, written as CIF:
```
data_Ta5Pb
_chemical_formula_sum 'Ta20 Pb4'
_symmetry_space_group_name_H-M 'F -4 3 m'
_symmetry_Int_Tables_number 216
_symmetry_space_group_name_Hall 'F -4 2 3'
_cell_length_a 7.8191
_cell_length_b 7.8191
_cell_length_c 7.8191
_cell_angle_alpha 90.00
_cell_angle_beta 90.00
_cell_angle_gamma 90.00
loop_
_atom_site_label
_atom_site_type_symbol
_atom_site_fract_x
_atom_site_fract_y
_atom_site_fract_z
Ta1 Ta 0.0000 0.0000 0.0000
Ta2 Ta 0.1262 0.1262 0.6262
Pb1 Pb 0.2500 0.2500 0.2500
```

(8)
This record from Alexandria describes a relaxed structure of K6Pb. The functional is PBE-GGA.

Properties
- Energy relative to the elements: 0.567 eV/atom
- N(E_F): 1.2275 states/eV per atom
- Size of the total moment: 0.0 μB/cell

Cell and atoms, written as CIF:
```
data_K6Pb
_chemical_formula_sum 'K12 Pb2'
_symmetry_space_group_name_H-M 'I m -3 m'
_symmetry_Int_Tables_number 229
_symmetry_space_group_name_Hall '-I 4 2 3'
_cell_length_a 10.2693
_cell_length_b 10.2693
_cell_length_c 10.2693
_cell_angle_alpha 90.00
_cell_angle_beta 90.00
_cell_angle_gamma 90.00
loop_
_atom_site_label
_atom_site_type_symbol
_atom_site_fract_x
_atom_site_fract_y
_atom_site_fract_z
K1 K 0.0000 0.2500 0.5000
Pb1 Pb 0.0000 0.0000 0.0000
```

Which formula does entry 2 have?
SmCdAuO4